The following is a DFT calculation (PBE-GGA) of a relaxed In2GePd2 crystal.

Calculated values
Symmetry ... P4/mbm, No. 127
V ... 195.2 Å³ per cell
Energy of formation from the pure elements ... -0.22 eV per atom
Polymorph energy (0 for the lowest one) ... 53 meV per atom
Crystal system ... tetragonal

Cell lengths 7.9902, 7.9902, 3.0567 Å; angles 90.00, 90.00, 90.00 degrees
With the nearest neighbours (Å) after each atom.
Positions (direct):
In 0.1505 0.3495 0.0000  6 Pd 2.77-2.82, 2 Ge 3.04, 2 In 3.06
In 0.3495 0.8495 0.0000  6 Pd 2.77-2.82, 2 Ge 3.04, 2 In 3.06
In 0.6505 0.1505 0.0000  6 Pd 2.77-2.82, 2 Ge 3.04, 2 In 3.06
In 0.8495 0.6505 0.0000  6 Pd 2.77-2.82, 2 Ge 3.04, 2 In 3.06
Ge 0.0000 0.0000 0.0000  4 In 3.04, 2 Ge 3.06
Ge 0.5000 0.5000 0.0000  4 In 3.04, 2 Ge 3.06
Pd 0.1453 0.6453 0.5000  6 In 2.77-2.82, 2 Pd 3.06
Pd 0.3547 0.1453 0.5000  6 In 2.77-2.82, 2 Pd 3.06
Pd 0.6453 0.8547 0.5000  6 In 2.77-2.82, 2 Pd 3.06
Pd 0.8547 0.3547 0.5000  6 In 2.77-2.82, 2 Pd 3.06

The following is a DFT calculation (PBE-GGA) of a relaxed LaNiAu crystal.

Calculated values
Symmetry ... F-43m, No. 216
V ... 322.8 Å³ per cell
Energy of formation from the pure elements ... 0.01 eV per atom
Crystal system ... cubic

Cell lengths 6.8598, 6.8598, 6.8598 Å; angles 90.00, 90.00, 90.00 degrees
With the nearest neighbours (Å) after each atom.
Positions (direct):
La 0.0000 0.0000 0.0000  4 Ni 2.97, 4 Au 2.97
La 0.0000 0.5000 0.5000  4 Ni 2.97, 4 Au 2.97
La 0.5000 0.0000 0.5000  4 Ni 2.97, 4 Au 2.97
La 0.5000 0.5000 0.0000  4 Ni 2.97, 4 Au 2.97
Ni 0.2500 0.2500 0.7500  4 La 2.97
Ni 0.2500 0.7500 0.2500  4 La 2.97
Ni 0.7500 0.2500 0.2500  4 La 2.97
Ni 0.7500 0.7500 0.7500  4 La 2.97
Au 0.2500 0.2500 0.2500  4 La 2.97
Au 0.2500 0.7500 0.7500  4 La 2.97
Au 0.7500 0.2500 0.7500  4 La 2.97
Au 0.7500 0.7500 0.2500  4 La 2.97

Number 1: total DFT energy (no corrections) -4.3156 eV per atom, D(E_F) 3.35 states/eV/cell, total magnetic moment 0.00 μB/f.u.. Number 2: total DFT energy (no corrections) -4.6514 eV per atom, D(E_F) 8.81 states/eV/cell, total magnetic moment 0.00 μB/f.u..